1.
# AgSbPt2 (GGA-PBE, relaxed)
data_AgSbPt2
_cell_length_a 3.459
_cell_length_b 4.287
_cell_length_c 5.352
_cell_angle_alpha 90.00
_cell_angle_beta 108.80
_cell_angle_gamma 90.00
_symmetry_space_group_name_H-M 'P 1 m 1'
_symmetry_Int_Tables_number 6
_symmetry_space_group_name_Hall 'P -2y'
loop_
_atom_site_label
_atom_site_fract_x
_atom_site_fract_y
_atom_site_fract_z
Ag1 0.000 0.000 0.000
Sb1 0.289 0.500 0.573
Pt1 0.551 0.500 0.103
Pt2 0.733 0.000 0.459
# Volume, Å³/cell: 75.13
# Formation energy (no corrections), eV/atom: -0.1126
# Calculated total energy, eV per atom: -4.8765

=====

2.
# Ho3Er2Hg3 (GGA-PBE, relaxed)
data_Ho3Er2Hg3
_cell_length_a 3.714
_cell_length_b 5.270
_cell_length_c 21.897
_cell_angle_alpha 90.00
_cell_angle_beta 90.00
_cell_angle_gamma 90.00
_symmetry_space_group_name_H-M 'I m m m'
_symmetry_Int_Tables_number 71
_symmetry_space_group_name_Hall '-I 2 2'
loop_
_atom_site_label
_atom_site_fract_x
_atom_site_fract_y
_atom_site_fract_z
Ho1 0.000 0.000 0.000
Ho2 0.000 0.500 0.122
Er1 0.000 0.000 0.232
Hg1 0.000 0.000 0.500
Hg2 0.000 0.500 0.381
# Volume, Å³/cell: 428.51
# Formation energy, eV/atom: -0.358
# Calculated total energy, eV per atom: -3.3286

=====

3.
# Nd2Zn3Pb (GGA-PBE, relaxed)
data_Nd2Zn3Pb
_cell_length_a 3.804
_cell_length_b 4.640
_cell_length_c 8.145
_cell_angle_alpha 90.00
_cell_angle_beta 90.00
_cell_angle_gamma 90.00
_symmetry_space_group_name_H-M 'P m m 2'
_symmetry_Int_Tables_number 25
_symmetry_space_group_name_Hall 'P 2 -2'
loop_
_atom_site_label
_atom_site_fract_x
_atom_site_fract_y
_atom_site_fract_z
Nd1 0.000 0.000 0.000
Nd2 0.000 0.500 0.470
Zn1 0.500 0.000 0.311
Zn2 0.500 0.000 0.624
Zn3 0.500 0.500 0.168
Pb1 0.500 0.500 0.817
# Volume, Å³/cell: 143.76
# Formation energy, eV/atom: -0.375
# Calculated total energy, eV per atom: -3.2190

=====

Density values (in Mg/m³) by entry order: 13.70, 11.09, 7.99.
D(E_F) values (in states/eV/cell) by entry order: 1.47, 17.67, 3.96.